CsGaAgF6 (PBE-GGA, optimized geometry); ρ = 3.92 g/cm³; space-group type = No. 1; energy above the most stable polymorph in this dataset = 2.34 kJ/mol of atoms; VASP energy = -4.21 eV/atom
1.0
-0.055 -0.776 5.595
0.768 -5.310 2.322
6.257 1.117 0.143
Cs F Ag Ga
1 6 1 1
Cartesian
0.761 -5.277 2.405
4.106 0.283 2.175
2.604 -3.128 3.468
1.939 -0.477 3.496
2.320 -1.630 1.093
4.562 -1.499 4.197
4.680 -2.435 1.673
3.602 -3.490 5.378
3.361 -1.449 2.762